[1]
! BeTc2P | Alexandria via LeMat-Bulk | PBE-GGA | relaxed; values from VASP
&SYSTEM
  ibrav = 0, nat = 4, ntyp = 3
/
ATOMIC_SPECIES
Be 9.01 Be.upf
Tc 98.00 Tc.upf
P 30.97 P.upf
CELL_PARAMETERS angstrom
4.090 0.000 0.000
0.000 2.830 0.000
-2.044 0.000 4.402
ATOMIC_POSITIONS crystal
Be 0.000 0.000 0.000
Tc 0.000 0.000 0.500
Tc 0.500 0.500 0.000
P 0.500 0.500 0.500
! Total magnetic moment ... 0.0 μB/f.u.
! SG ... No. 10
! Energy relative to the lowest polymorph listed for this composition ... 0.3901 eV per atom
! Uncorrected energy ... -7.503 eV/atom
! Crystal system ... monoclinic
! Energy of formation ... -0.036 eV per atom
! DOS(E_F) ... 0.827 states/eV/atom


[2]
! CsAg2BiS | Alexandria via LeMat-Bulk | PBE-GGA | relaxed; values from VASP
&SYSTEM
  ibrav = 0, nat = 5, ntyp = 4
/
ATOMIC_SPECIES
Cs 132.91 Cs.upf
Ag 107.87 Ag.upf
Bi 208.98 Bi.upf
S 32.06 S.upf
CELL_PARAMETERS angstrom
5.200 0.000 0.000
0.000 5.200 0.000
0.000 0.000 5.957
ATOMIC_POSITIONS crystal
Cs 0.000 0.000 0.000
Ag 0.000 0.500 0.500
Ag 0.500 0.000 0.500
Bi 0.500 0.500 0.000
S 0.500 0.500 0.500
! Total magnetic moment ... 0.0 μB/f.u.
! SG ... No. 123
! Formation energy from raw total energies ... 202 meV per atom
! Uncorrected energy ... -2.711 eV/atom
! Crystal system ... tetragonal
! DOS(E_F) ... 0.987 states/eV/atom


[3]
! LiCeBrCl4 | Alexandria via LeMat-Bulk | PBE-GGA | relaxed; values from VASP
&SYSTEM
  ibrav = 0, nat = 14, ntyp = 4
/
ATOMIC_SPECIES
Li 6.94 Li.upf
Ce 140.12 Ce.upf
Br 79.90 Br.upf
Cl 35.45 Cl.upf
CELL_PARAMETERS angstrom
6.025 -4.331 0.000
6.025 4.331 0.000
-2.240 0.000 8.225
ATOMIC_POSITIONS crystal
Li 0.139 0.139 0.315
Li 0.861 0.861 0.685
Ce 0.286 0.286 0.888
Ce 0.714 0.714 0.112
Br 0.470 0.470 0.180
Br 0.530 0.530 0.820
Cl 0.005 0.387 0.144
Cl 0.064 0.064 0.774
Cl 0.269 0.269 0.573
Cl 0.387 0.005 0.144
Cl 0.613 0.995 0.856
Cl 0.731 0.731 0.427
Cl 0.936 0.936 0.226
Cl 0.995 0.613 0.856
! Total magnetic moment ... 0.0 μB/f.u.
! SG ... No. 12
! Formation energy from raw total energies ... -1782 meV per atom
! Uncorrected energy ... -4.197 eV/atom
! Crystal system ... monoclinic


[4]
! AgPW2 | Alexandria via LeMat-Bulk | PBE-GGA | relaxed; values from VASP
&SYSTEM
  ibrav = 0, nat = 8, ntyp = 3
/
ATOMIC_SPECIES
Ag 107.87 Ag.upf
P 30.97 P.upf
W 183.84 W.upf
CELL_PARAMETERS angstrom
3.250 0.000 0.000
0.000 4.608 0.000
0.000 0.000 8.433
ATOMIC_POSITIONS crystal
Ag 0.000 0.000 0.000
Ag 0.500 0.500 0.000
P 0.000 0.000 0.500
P 0.500 0.500 0.500
W 0.000 0.500 0.286
W 0.000 0.500 0.714
W 0.500 0.000 0.286
W 0.500 0.000 0.714
! Total magnetic moment ... 0.0 μB/f.u.
! SG ... No. 65
! Energy relative to the lowest polymorph listed for this composition ... 0.2142 eV per atom
! Uncorrected energy ... -8.047 eV/atom
! Crystal system ... orthorhombic
! Energy of formation ... 0.494 eV per atom
! DOS(E_F) ... 0.592 states/eV/atom